Ca2OsW | GGA-PBEsol | relaxed

Computed properties:
- DFT total energy: -6.62 eV per atom
- Energy of formation from the pure elements: 0.956 eV per atom

Unit cell a=2.9516 b=2.9516 c=29.9913 alpha=90.00 beta=90.00 gamma=120.00
Space group R-3m (No. 166, hexagonal axes)
One atom of each set of equivalent atoms:
Ca: 0.0000 0.0000 0.2453 x6
Os: 0.0000 0.0000 0.5000 x3
W: 0.0000 0.0000 0.0000 x3